No. 1
Entry from Alexandria via LeMat-Bulk: a relaxed structure of BaPr2GaO5 (PBE).

Calculated values
formation energy (no corrections)	-2.60	eV per atom

abc: 6.941 6.941 7.567
angles: 117.30 117.30 90.00
Atoms (fractional coordinates):
Ba 0.250 0.250 0.500
Ba 0.750 0.750 0.500
Pr 0.169 0.331 0.000
Pr 0.669 0.169 0.000
Pr 0.331 0.831 0.000
Pr 0.831 0.669 0.000
Ga 0.250 0.750 0.500
Ga 0.750 0.250 0.500
O 0.997 0.497 0.273
O 0.724 0.224 0.727
O 0.003 0.503 0.727
O 0.224 0.003 0.727
O 0.503 0.724 0.727
O 0.776 0.997 0.273
O 0.497 0.276 0.273
O 0.276 0.776 0.273
O 0.500 0.500 0.000
O 0.000 0.000 0.000

=====

No. 2
Entry from Alexandria via LeMat-Bulk: a relaxed structure of Ba2GaPtO6 (PBE).

Calculated values
formation energy (no corrections)	-1.75	eV per atom

abc: 5.820 5.820 10.273
angles: 73.54 73.54 60.00
Last column: magnetic moment on the atom in μB.
Atoms (fractional coordinates):
Ba 0.873 0.873 0.380  0.00
Ba 0.127 0.127 0.620  0.00
Ba 0.713 0.713 0.860  0.00
Ba 0.287 0.287 0.140  0.00
Ga 0.593 0.593 0.222  -0.01
Ga 0.407 0.407 0.778  -0.01
Pt 0.000 0.000 0.000  0.35
Pt 0.500 0.500 0.500  0.31
O 0.849 0.393 0.365  0.07
O 0.393 0.849 0.365  0.07
O 0.393 0.393 0.365  0.07
O 0.151 0.607 0.635  0.07
O 0.607 0.151 0.635  0.07
O 0.607 0.607 0.635  0.07
O 0.713 0.204 0.879  0.09
O 0.204 0.713 0.879  0.09
O 0.204 0.204 0.879  0.09
O 0.287 0.796 0.121  0.09
O 0.796 0.287 0.121  0.09
O 0.796 0.796 0.121  0.09

=====

No. 3
Entry from Alexandria via LeMat-Bulk: a relaxed structure of Ba2GaPtO4 (PBE).

Calculated values
formation energy (no corrections)	-1.65	eV per atom

abc: 5.649 5.649 5.649
angles: 106.64 110.91 110.91
Last column: magnetic moment on the atom in μB.
Atoms (fractional coordinates):
Ba 0.500 0.750 0.250  0.01
Ba 0.000 0.000 0.000  0.00
Ga 0.000 0.500 0.500  0.02
Pt 0.500 0.250 0.750  0.65
O 0.664 0.476 0.519  0.06
O 0.043 0.187 0.524  0.06
O 0.957 0.481 0.145  0.06
O 0.336 0.855 0.813  0.06

=====

No. 4
Entry from Alexandria via LeMat-Bulk: a relaxed structure of Ba3Pu2GaO9 (PBE).

Calculated values
formation energy (no corrections)	-2.74	eV per atom

abc: 6.011 6.011 7.421
angles: 90.00 90.00 120.00
Last column: magnetic moment on the atom in μB.
Atoms (fractional coordinates):
Ba 0.333 0.667 0.656  0.01
Ba 0.000 0.000 0.000  0.01
Ba 0.667 0.333 0.344  0.01
Pu 0.333 0.667 0.178  3.74
Pu 0.667 0.333 0.822  3.74
Ga 0.000 0.000 0.500  -0.01
O 0.839 0.161 0.660  -0.05
O 0.839 0.677 0.660  -0.05
O 0.323 0.161 0.660  -0.05
O 0.677 0.839 0.340  -0.05
O 0.161 0.323 0.340  -0.05
O 0.161 0.839 0.340  -0.05
O 0.500 0.000 0.000  -0.10
O 0.000 0.500 0.000  -0.10
O 0.500 0.500 0.000  -0.10

=====

No. 5
Entry from Alexandria via LeMat-Bulk: a relaxed structure of Ba2PuGa2O6 (PBE).

Calculated values
formation energy (no corrections)	-2.36	eV per atom

abc: 6.086 6.086 7.540
angles: 66.20 66.20 60.00
Last column: magnetic moment on the atom in μB.
Atoms (fractional coordinates):
Ba 0.725 0.725 0.826  0.01
Ba 0.275 0.275 0.174  0.01
Pu 0.000 0.000 0.000  4.14
Ga 0.439 0.439 0.682  -0.02
Ga 0.561 0.561 0.318  -0.02
O 0.764 0.764 0.181  -0.03
O 0.292 0.764 0.181  -0.03
O 0.764 0.292 0.181  -0.03
O 0.236 0.708 0.819  -0.03
O 0.708 0.236 0.819  -0.03
O 0.236 0.236 0.819  -0.03

=====

No. 6
Entry from Alexandria via LeMat-Bulk: a relaxed structure of BaPuGaO6 (PBE).

Calculated values
formation energy (no corrections)	-2.31	eV per atom

abc: 5.344 5.344 5.922
angles: 90.00 90.00 60.00
Last column: magnetic moment on the atom in μB.
Atoms (fractional coordinates):
Ba 0.000 0.000 0.000  0.00
Pu 0.667 0.667 0.500  1.39
Ga 0.333 0.333 0.500  0.00
O 0.999 0.374 0.309  -0.06
O 0.374 0.999 0.691  -0.06
O 0.626 0.374 0.691  -0.06
O 0.999 0.627 0.691  -0.06
O 0.374 0.626 0.309  -0.06
O 0.626 0.999 0.309  -0.06

=====

No. 7
Entry from Alexandria via LeMat-Bulk: a relaxed structure of BaPuGaO5 (PBE).

Calculated values
formation energy (no corrections)	-2.56	eV per atom

abc: 6.159 6.159 7.950
angles: 103.80 103.80 106.82
Last column: magnetic moment on the atom in μB.
Atoms (fractional coordinates):
Ba 0.334 0.666 0.250  0.00
Ba 0.666 0.334 0.750  0.00
Pu 0.000 0.000 0.500  3.38
Pu 0.000 0.000 0.000  3.38
Ga 0.688 0.312 0.250  0.00
Ga 0.312 0.688 0.750  0.00
O 0.065 0.935 0.250  -0.13
O 0.935 0.065 0.750  -0.13
O 0.887 0.296 0.104  -0.06
O 0.113 0.704 0.896  -0.06
O 0.704 0.113 0.396  -0.06
O 0.296 0.887 0.604  -0.06
O 0.762 0.629 0.402  -0.07
O 0.238 0.371 0.598  -0.07
O 0.371 0.238 0.098  -0.07
O 0.629 0.762 0.902  -0.07

=====

No. 8
Entry from Alexandria via LeMat-Bulk: a relaxed structure of Ba3PuGa2O8 (PBE).

Calculated values
formation energy (no corrections)	-2.49	eV per atom

abc: 6.011 6.011 7.632
angles: 90.00 90.00 120.00
Last column: magnetic moment on the atom in μB.
Atoms (fractional coordinates):
Ba 0.333 0.667 0.665  0.01
Ba 0.667 0.333 0.335  0.01
Ba 0.000 0.000 0.000  0.00
Pu 0.000 0.000 0.500  4.15
Ga 0.333 0.667 0.215  -0.01
Ga 0.667 0.333 0.785  -0.01
O 0.333 0.667 0.982  -0.01
O 0.667 0.333 0.018  -0.01
O 0.169 0.831 0.323  -0.03
O 0.831 0.169 0.677  -0.03
O 0.169 0.338 0.323  -0.03
O 0.831 0.662 0.677  -0.03
O 0.662 0.831 0.323  -0.03
O 0.338 0.169 0.677  -0.03

=====

No. 9
Entry from Alexandria via LeMat-Bulk: a relaxed structure of BaGaRe2O8 (PBE).

Calculated values
formation energy (no corrections)	-1.66	eV per atom

abc: 5.486 5.486 7.458
angles: 90.00 90.00 120.00
Last column: magnetic moment on the atom in μB.
Atoms (fractional coordinates):
Ba 0.000 0.000 0.000  0.01
Ga 0.000 0.000 0.500  0.07
Re 0.667 0.333 0.281  0.98
Re 0.333 0.667 0.719  0.98
O 0.333 0.667 0.961  0.12
O 0.308 0.257 0.334  0.07
O 0.743 0.051 0.334  0.07
O 0.667 0.333 0.039  0.12
O 0.257 0.949 0.666  0.07
O 0.692 0.743 0.666  0.07
O 0.051 0.308 0.666  0.07
O 0.949 0.692 0.334  0.07

=====

No. 10
Entry from Alexandria via LeMat-Bulk: a relaxed structure of Ba2GaReO6 (PBE).

Calculated values
formation energy (no corrections)	-2.12	eV per atom

abc: 5.733 5.733 5.735
angles: 60.00 60.00 89.98
Last column: magnetic moment on the atom in μB.
Atoms (fractional coordinates):
Ba 0.750 0.250 0.500  0.01
Ba 0.250 0.750 0.500  0.01
Ga 0.500 0.500 0.000  0.00
Re 0.000 0.000 0.000  1.44
O 0.248 0.248 0.504  0.05
O 0.752 0.752 0.000  0.05
O 0.248 0.752 0.000  0.05
O 0.752 0.248 0.000  0.05
O 0.248 0.248 0.000  0.05
O 0.752 0.752 0.496  0.05

=====

No. 11
Entry from Alexandria via LeMat-Bulk: a relaxed structure of Ba20Ga5Ru7O44 (PBE).

Calculated values
formation energy (no corrections)	-2.10	eV per atom

abc: 5.894 11.262 19.203
angles: 90.11 90.00 90.00
Last column: magnetic moment on the atom in μB.
Atoms (fractional coordinates):
Ba 0.250 0.132 0.744  0.00
Ba 0.250 0.367 0.254  0.01
Ba 0.750 0.868 0.250  0.01
Ba 0.750 0.633 0.750  0.01
Ba 0.250 0.454 0.667  0.01
Ba 0.250 0.046 0.171  0.01
Ba 0.750 0.543 0.330  0.01
Ba 0.750 0.959 0.831  0.00
Ba 0.250 0.891 0.973  0.01
Ba 0.250 0.601 0.473  0.01
Ba 0.750 0.104 0.028  0.01
Ba 0.750 0.385 0.524  0.01
Ba 0.250 0.818 0.635  0.01
Ba 0.250 0.687 0.138  0.01
Ba 0.750 0.191 0.364  0.01
Ba 0.750 0.308 0.863  0.01
Ba 0.250 0.527 0.932  0.01
Ba 0.250 0.981 0.440  0.01
Ba 0.750 0.471 0.070  0.01
Ba 0.750 0.038 0.569  0.00
Ga 0.250 0.764 0.809  0.00
Ga 0.250 0.736 0.309  0.00
Ga 0.750 0.236 0.189  0.00
Ga 0.750 0.268 0.690  0.00
Ga 0.250 0.202 0.568  0.01
Ru 0.250 0.209 0.938  1.22
Ru 0.250 0.292 0.433  1.92
Ru 0.750 0.791 0.068  1.80
Ru 0.750 0.708 0.569  1.84
Ru 0.250 0.293 0.061  0.78
Ru 0.750 0.797 0.434  1.72
Ru 0.750 0.704 0.935  1.62
O 0.250 0.038 0.593  0.02
O 0.250 0.454 0.092  0.12
O 0.750 0.957 0.405  0.28
O 0.750 0.542 0.907  0.26
O 0.250 0.306 0.855  0.14
O 0.250 0.187 0.351  0.18
O 0.750 0.686 0.150  0.17
O 0.750 0.814 0.648  0.20
O 0.250 0.912 0.768  0.00
O 0.250 0.589 0.267  0.00
O 0.750 0.088 0.229  0.01
O 0.750 0.413 0.735  0.01
O 0.250 0.637 0.751  0.02
O 0.250 0.858 0.247  0.02
O 0.750 0.361 0.249  0.01
O 0.750 0.143 0.753  0.01
O 0.250 0.377 0.527  0.07
O 0.250 0.117 0.031  0.07
O 0.750 0.624 0.472  0.09
O 0.750 0.877 0.972  0.08
O 0.015 0.325 0.986  0.07
O 0.480 0.183 0.484  0.06
O 0.521 0.677 0.014  0.07
O 0.975 0.820 0.512  0.09
O 0.979 0.677 0.014  0.07
O 0.525 0.820 0.512  0.09
O 0.485 0.325 0.986  0.07
O 0.020 0.183 0.484  0.06
O 0.014 0.106 0.905  0.15
O 0.486 0.395 0.398  0.18
O 0.511 0.890 0.100  0.21
O 0.989 0.609 0.600  0.23
O 0.989 0.890 0.100  0.21
O 0.511 0.609 0.600  0.23
O 0.486 0.106 0.905  0.15
O 0.014 0.395 0.398  0.18
O 0.006 0.254 0.634  0.01
O 0.492 0.247 0.132  0.04
O 0.511 0.745 0.364  0.08
O 0.990 0.756 0.866  0.07
O 0.989 0.745 0.364  0.08
O 0.510 0.756 0.866  0.07
O 0.494 0.254 0.634  0.01
O 0.008 0.247 0.132  0.04

=====

No. 12
Entry from Alexandria via LeMat-Bulk: a relaxed structure of BaGa2RuO8 (PBE).

Calculated values
formation energy (no corrections)	-1.37	eV per atom

abc: 4.591 4.688 7.526
angles: 85.15 90.20 89.34
Last column: magnetic moment on the atom in μB.
Atoms (fractional coordinates):
Ba 0.000 0.000 0.500  0.01
Ga 0.506 0.505 0.816  0.02
Ga 0.494 0.495 0.184  0.02
Ru 0.000 0.000 0.000  1.27
O 0.202 0.784 0.201  0.10
O 0.714 0.696 0.997  0.02
O 0.781 0.171 0.179  0.13
O 0.798 0.216 0.799  0.10
O 0.286 0.304 0.003  0.02
O 0.219 0.829 0.821  0.13
O 0.451 0.607 0.561  0.01
O 0.549 0.393 0.439  0.01

=====

Q: The highest formation energy (no corrections) belongs to which entry?
A: BaGa2RuO8

=====

Q: Which value of formation energy (no corrections) does entry 1 give?
A: -2.60 eV per atom